(a)
Below is a crystal of Zn2TcRu relaxed with PBEsol, with properties calculated at the SCAN level.

It has space group I-4m2 (No. 119), with a = 4.006 Å, b = 4.006 Å, c = 6.685 Å, α = 90.00°, β = 90.00° and γ = 90.00°. The asymmetric unit holds Zn at (0.000, 0.000, 0.000), Zn at (0.000, 0.500, 0.250), Tc at (0.000, 0.500, 0.750) and Ru at (0.000, 0.000, 0.500).


(b)
Below is a crystal of Zn2TcRu relaxed with PBEsol, with properties calculated at the SCAN level.

It has space group Cmmm (No. 65), with a = 2.957 Å, b = 4.306 Å, c = 8.556 Å, α = 90.00°, β = 90.00° and γ = 90.00°. The asymmetric unit holds Zn at (0.000, 0.000, 0.247), Tc at (0.000, 0.500, 0.500) and Ru at (0.000, 0.500, 0.000).


Going by the energies, (a) is most stable and the next is 9.9 kJ/mol of atoms up.


(a)
Below is a crystal of Zn2TcRu relaxed with PBEsol, with properties calculated at the SCAN level.

It has space group Immm (No. 71), with a = 2.844 Å, b = 4.414 Å, c = 8.703 Å, α = 90.00°, β = 90.00° and γ = 90.00°. The asymmetric unit holds Zn at (0.000, 0.000, 0.247), Tc at (0.000, 0.500, 0.000) and Ru at (0.000, 0.500, 0.500).


(b)
Below is a crystal of Zn2TcRu relaxed with PBEsol, with properties calculated at the SCAN level.

It has space group Cmmm (No. 65), with a = 5.046 Å, b = 7.933 Å, c = 2.715 Å, α = 90.00°, β = 90.00° and γ = 90.00°. The asymmetric unit holds Zn at (0.250, 0.250, 0.000), Tc at (0.000, 0.000, 0.500) and Ru at (0.000, 0.500, 0.500).


Going by the energies, (a) is most stable and the next is 5.7 kJ/mol of atoms up.


(a)
Below is a crystal of Te2RuW relaxed with PBEsol, with properties calculated at the SCAN level.

It has space group P4/mmm (No. 123), with a = 3.292 Å, b = 3.292 Å, c = 6.541 Å, α = 90.00°, β = 90.00° and γ = 90.00°. The asymmetric unit holds Te at (0.000, 0.000, 0.249), Ru at (0.500, 0.500, 0.500) and W at (0.500, 0.500, 0.000).


(b)
Below is a crystal of Te2RuW relaxed with PBEsol, with properties calculated at the SCAN level.

It has space group I-4m2 (No. 119), with a = 3.949 Å, b = 3.949 Å, c = 9.412 Å, α = 90.00°, β = 90.00° and γ = 90.00°. The asymmetric unit holds Te at (0.000, 0.000, 0.000), Te at (0.000, 0.500, 0.250), Ru at (0.000, 0.500, 0.750) and W at (0.000, 0.000, 0.500).


Going by the energies, (a) is most stable and the next is 34.2 kJ/mol of atoms up.


(a)
Below is a crystal of ZnTeRu2 relaxed with PBEsol, with properties calculated at the SCAN level.

It has space group Fm-3m (No. 225), with a = 6.181 Å, b = 6.181 Å, c = 6.181 Å, α = 90.00°, β = 90.00° and γ = 90.00°. The asymmetric unit holds Zn at (0.000, 0.000, 0.000), Te at (0.000, 0.000, 0.500) and Ru at (0.250, 0.250, 0.250).


(b)
Below is a crystal of ZnTeRu2 relaxed with PBEsol, with properties calculated at the SCAN level.

It has space group Imm2 (No. 44), with a = 3.116 Å, b = 4.253 Å, c = 9.353 Å, α = 90.00°, β = 90.00° and γ = 90.00°. The asymmetric unit holds Zn at (0.000, 0.000, 0.000), Te at (0.000, 0.500, 0.234), Ru at (0.000, 0.000, 0.510) and Ru at (0.000, 0.500, 0.744).


Going by the energies, (a) is most stable and the next is 28.8 kJ/mol of atoms up.


(a)
Below is a crystal of Tl3Ru relaxed with PBEsol, with properties calculated at the SCAN level.

It has space group P-6m2 (No. 187), with a = 3.2840 Å, b = 3.2840 Å, c = 9.7482 Å, α = 90.00°, β = 90.00° and γ = 120.00°. The asymmetric unit holds Tl at (0.0000, 0.0000, 0.0000), Tl at (0.3333, 0.6667, 0.2924) and Ru at (0.0000, 0.0000, 0.5000).


(b)
Below is a crystal of Tl3Ru relaxed with PBEsol, with properties calculated at the SCAN level.

It has space group Pm-3m (No. 221), with a = 5.213 Å, b = 5.213 Å, c = 5.213 Å, α = 90.00°, β = 90.00° and γ = 90.00°. The asymmetric unit holds Tl at (0.000, 0.000, 0.500) and Ru at (0.000, 0.000, 0.000).


Going by the energies, (b) is most stable and the next is 22.8 kJ/mol of atoms up.


(a)
Below is a crystal of TlRu2W relaxed with PBEsol, with properties calculated at the SCAN level.

It has space group P4/mmm (No. 123), with a = 2.939 Å, b = 2.939 Å, c = 7.390 Å, α = 90.00°, β = 90.00° and γ = 90.00°. The asymmetric unit holds Tl at (0.000, 0.000, 0.000), Ru at (0.500, 0.500, 0.279) and W at (0.000, 0.000, 0.500).


(b)
Below is a crystal of TlRu2W relaxed with PBEsol, with properties calculated at the SCAN level.

It has space group C2/m (No. 12), with a = 9.016 Å, b = 2.872 Å, c = 5.058 Å, α = 90.00°, β = 101.23° and γ = 90.00°. The asymmetric unit holds Tl at (0.000, 0.000, 0.000), Ru at (0.239, 0.000, 0.709) and W at (0.000, 0.500, 0.500).


Going by the energies, (a) is most stable and the next is 21.8 kJ/mol of atoms up.


(a)
Below is a crystal of YTlRu2 relaxed with PBEsol, with properties calculated at the SCAN level.

It has space group F-43m (No. 216), with a = 6.645 Å, b = 6.645 Å, c = 6.645 Å, α = 90.00°, β = 90.00° and γ = 90.00°. The asymmetric unit holds Y at (0.000, 0.000, 0.000), Tl at (0.250, 0.250, 0.250), Ru at (0.000, 0.000, 0.500) and Ru at (0.250, 0.250, 0.750).


(b)
Below is a crystal of YTlRu2 relaxed with PBEsol, with properties calculated at the SCAN level.

It has space group P2/m (No. 10), with a = 3.162 Å, b = 4.442 Å, c = 5.645 Å, α = 90.00°, β = 95.52° and γ = 90.00°. The asymmetric unit holds Y at (0.000, 0.000, 0.000), Tl at (0.500, 0.000, 0.500) and Ru at (0.425, 0.500, 0.793).


(c)
Below is a crystal of YTlRu2 relaxed with PBEsol, with properties calculated at the SCAN level.

It has space group P4/mmm (No. 123), with a = 3.371 Å, b = 3.371 Å, c = 6.332 Å, α = 90.00°, β = 90.00° and γ = 90.00°. The asymmetric unit holds Y at (0.000, 0.000, 0.000), Tl at (0.000, 0.000, 0.500) and Ru at (0.500, 0.500, 0.264).


Going by the energies, (c) is most stable and the next is 8.7 kJ/mol of atoms up.